[1]
Entry from Alexandria via LeMat-Bulk: a geometry-optimized K2BaBe structure (GGA-PBE).

The space group is P4mm (No. 99) and the conventional cell measures 4.1751, 4.1751 and 11.1601 Å, with angles of 90.00, 90.00 and 90.00 degrees. The distinct sites, in fractional coordinates, are K at (0.0000, 0.0000, 0.0000), K at (0.5000, 0.5000, 0.3376), Ba at (0.0000, 0.0000, 0.6615) and Be at (0.5000, 0.5000, 0.8024).

The energy relative to the elements comes out at 426 meV per atom. The calculation puts the total energy at -0.1128 Ry/atom. For the density of states at the Fermi level, the calculation gives 2.2 states/eV/f.u.

[2]
Entry from Alexandria via LeMat-Bulk: a geometry-optimized V3ReRh4 structure (GGA-PBE).

The space group is Pmma (No. 51) and the conventional cell measures 8.7323, 5.4486 and 4.6741 Å, with angles of 90.00, 90.00 and 90.00 degrees. The distinct sites, in fractional coordinates, are V at (0.0000, 0.0000, 0.0000), V at (0.2500, 0.0000, 0.3480), V at (0.2500, 0.5000, 0.3346), Re at (0.0000, 0.5000, 0.0000), Rh at (0.0000, 0.2490, 0.5000) and Rh at (0.2500, 0.2471, 0.8503).

The energy relative to the elements comes out at -318 meV per atom. The calculation puts the total energy at -0.6592 Ry/atom. For the density of states at the Fermi level, the calculation gives 8.2 states/eV/f.u.